Below is a geometry-optimized Hf3AsPt structure, with properties calculated at the PBE level.

```
Hf3AsPt
1.0
-5.7361 -0.1895 -2.2874
4.7355 -3.2578 2.2656
-3.5941 0.9866 8.9309
As Hf Pt
2 6 2
Cartesian
0.0000 0.0000 0.0000 As
-1.7970 0.4933 4.4655 As
-2.3820 -1.1774 -0.0185 Hf
-5.8792 -0.1642 0.2737 Hf
-3.6238 -0.8366 3.0672 Hf
-0.9709 -1.6242 5.8418 Hf
1.2845 -2.2965 8.6354 Hf
-2.2127 -1.2833 8.9276 Hf
1.1723 -2.2304 3.3397 Pt
-5.7670 -0.2303 5.5694 Pt
```

Values from the calculation:
Total DFT energy (no corrections) in eV per formula unit: -44.5


Below is a geometry-optimized Hf2As2Pt structure, with properties calculated at the PBE level.

```
Hf2As2Pt
1.0
-1.8593 1.8593 6.7163
1.8593 -1.8593 6.7163
1.8593 1.8593 -6.7163
As Hf Pt
2 2 1
Cartesian
0.0000 1.8593 3.3581 As
1.8593 0.0000 3.3581 As
0.0000 0.0000 5.3337 Hf
0.0000 0.0000 8.0988 Hf
0.0000 0.0000 0.0000 Pt
```

Values from the calculation:
Total DFT energy (no corrections) in eV per formula unit: -37.5


Below is a geometry-optimized HfZr2As4Pt4 structure, with properties calculated at the PBE level.

```
HfZr2As4Pt4
1.0
-1.3523 -6.4732 0.5025
1.2683 0.0265 3.7538
-7.1285 1.6882 2.3966
As Hf Pt Zr
4 1 4 2
Cartesian
-1.1094 -1.3427 0.3843 As
-3.6704 -4.2322 1.2699 As
-4.2142 -0.4564 3.5183 As
-6.7248 -3.6136 4.3888 As
-5.6289 -2.2829 1.9179 Hf
-1.2529 -4.0837 0.4521 Pt
-3.3697 -0.2983 1.1406 Pt
-4.5626 -4.4439 3.6642 Pt
-6.5470 -0.8156 4.3090 Pt
-2.0210 -5.9527 2.8161 Zr
-2.2536 -2.4506 2.8700 Zr
```

Values from the calculation:
Distance to the lowest polymorph of the same formula in kJ/mol of formula units: 0


Below is a geometry-optimized HfZr2As4Pt4 structure, with properties calculated at the PBE level.

```
HfZr2As4Pt4
1.0
-3.0929 3.0929 6.0517
3.0929 -3.0929 6.0517
3.0929 3.0929 -6.0517
As Hf Pt Zr
4 1 4 2
Cartesian
0.0000 0.0000 3.1563 As
0.0000 0.0000 8.9471 As
0.0000 3.0929 0.0000 As
3.0929 0.0000 0.0000 As
0.0000 0.0000 0.0000 Hf
-1.5986 1.5986 7.5857 Pt
1.5986 -1.5986 7.5857 Pt
1.4943 1.4943 -1.5340 Pt
1.5985 1.5985 4.5177 Pt
0.0000 3.0929 3.0258 Zr
3.0929 0.0000 3.0258 Zr
```

Values from the calculation:
Distance to the lowest polymorph of the same formula in kJ/mol of formula units: 14